No. 1
A geometry-optimized Hf2MnVCd structure, computed with PBE-GGA.

Properties
Volume = 103.1 Å³/cell
Energy of formation = 0.718 eV/atom
Symmetry = P4/mmm (123)

Cell lengths 4.995, 4.133, 4.995 Å; angles 90.00, 90.00, 90.00 degrees
Sites, in units of the cell vectors:
1 V 0.000 0.000 0.000
2 Mn 0.000 0.500 0.000
3 Hf 0.000 0.000 0.500
4 Hf 0.500 0.000 0.000
5 Cd 0.500 0.500 0.500

---

No. 2
A geometry-optimized Li2Sm2YMg5 structure, computed with PBE-GGA.

Properties
Volume = 504.6 Å³/cell
Energy of formation = -0.045 eV/atom
Symmetry = P4/mbm (127)

Cell lengths 4.422, 10.683, 10.683 Å; angles 90.00, 90.00, 90.00 degrees
Sites, in units of the cell vectors:
1 Li 0.000 0.115 0.615
2 Li 0.000 0.885 0.385
3 Li 0.000 0.615 0.885
4 Li 0.000 0.385 0.115
5 Sm 0.000 0.680 0.180
6 Sm 0.000 0.320 0.820
7 Sm 0.000 0.180 0.320
8 Sm 0.000 0.820 0.680
9 Y 0.000 0.000 0.000
10 Y 0.000 0.500 0.500
11 Mg 0.500 0.214 0.062
12 Mg 0.500 0.786 0.938
13 Mg 0.500 0.062 0.786
14 Mg 0.500 0.714 0.438
15 Mg 0.500 0.938 0.214
16 Mg 0.500 0.286 0.562
17 Mg 0.500 0.562 0.714
18 Mg 0.500 0.438 0.286
19 Mg 0.500 0.500 0.000
20 Mg 0.500 0.000 0.500

---

No. 3
A geometry-optimized KTlSe structure, computed with PBE-GGA.

Properties
Volume = 108.6 Å³/cell
Uncorrected formation energy = -736 meV per atom
Energy relative to the lowest polymorph listed for this composition = 28.9 meV per atom
Symmetry = P3m1 (156)

Cell lengths 4.549, 4.549, 6.062 Å; angles 90.00, 90.00, 120.00 degrees
Sites, in units of the cell vectors:
1 Tl 0.333 0.667 0.597
2 K 0.000 0.000 0.049
3 Se 0.667 0.333 0.354

---

Copy entry 2 word for word.
A geometry-optimized Li2Sm2YMg5 structure, computed with PBE-GGA.

Properties
Volume = 504.6 Å³/cell
Energy of formation = -0.045 eV/atom
Symmetry = P4/mbm (127)

Cell lengths 4.422, 10.683, 10.683 Å; angles 90.00, 90.00, 90.00 degrees
Sites, in units of the cell vectors:
1 Li 0.000 0.115 0.615
2 Li 0.000 0.885 0.385
3 Li 0.000 0.615 0.885
4 Li 0.000 0.385 0.115
5 Sm 0.000 0.680 0.180
6 Sm 0.000 0.320 0.820
7 Sm 0.000 0.180 0.320
8 Sm 0.000 0.820 0.680
9 Y 0.000 0.000 0.000
10 Y 0.000 0.500 0.500
11 Mg 0.500 0.214 0.062
12 Mg 0.500 0.786 0.938
13 Mg 0.500 0.062 0.786
14 Mg 0.500 0.714 0.438
15 Mg 0.500 0.938 0.214
16 Mg 0.500 0.286 0.562
17 Mg 0.500 0.562 0.714
18 Mg 0.500 0.438 0.286
19 Mg 0.500 0.500 0.000
20 Mg 0.500 0.000 0.500

---

Q: The lowest volume belongs to which entry?
A: Hf2MnVCd

---

Q: Which of these has the lowest volume?
A: Hf2MnVCd

---

Q: Which of these has the lowest volume?
A: Hf2MnVCd